LaGdZnAu | PBE | optimized geometry

- ΔE_f (eV per formula unit) = -2.19
- energy (eV/atom) = -6.437
- space-group type = F-43m
- total magnetization (μB per formula unit) = 7.227

Cell and atoms, written as POSCAR:
```
LaGdZnAu
1.0
-4.775 2.128 0.334
-4.206 -3.075 0.540
-2.602 -0.105 4.545
Au Gd La Zn
1 1 1 1
direct
0.500 0.500 0.500
0.750 0.750 0.750
0.250 0.250 0.250
0.000 0.000 0.000
```